[1]
Computed, not measured: a geometry-optimized Nd4Ga2O structure at the GGA-PBE level of DFT.

The structure in POSCAR format:
```
Nd4Ga2O
1.0
4.7685 0.0000 0.0000
0.0000 4.7685 0.0000
-2.3842 -2.3842 8.0447
Nd O Ga
4 1 2
Cartesian
2.3842 2.3842 5.2026
0.0000 0.0000 2.8421
0.0000 2.3842 0.0000
2.3842 0.0000 0.0000
0.0000 0.0000 0.0000
2.3842 2.3842 2.1677
0.0000 0.0000 5.8771
```

Its total energy is -5.377 eV/atom. The calculation puts the polymorph energy (0 for the lowest one) at 0.000 eV/atom.


[2]
Computed, not measured: a geometry-optimized Li2Mg2Sn structure at the GGA-PBE level of DFT.

The structure in POSCAR format:
```
Li2Mg2Sn
1.0
-2.0267 0.5305 -3.1043
-2.9161 -1.7104 1.6115
-5.0560 6.5573 2.1623
Mg Sn Li
2 1 2
Cartesian
-3.0081 0.8941 -0.1424
-6.9907 4.4832 0.8119
0.0000 0.0000 0.0000
-4.7771 3.2489 -0.8442
-5.2217 2.1285 1.5137
```

Its total energy is -2.180 eV/atom. The calculation puts the polymorph energy (0 for the lowest one) at 0.148 eV/atom. The value obtained for the formation energy is 24 meV/atom.


[3]
Computed, not measured: a geometry-optimized BaPa2CrN4 structure at the GGA-PBE level of DFT.

The structure in POSCAR format:
```
BaPa2CrN4
1.0
-3.1296 1.6752 -0.0117
1.2890 -1.3953 -6.0576
-5.5542 -10.3682 1.2063
Ba Pa Cr N
2 4 2 8
Cartesian
-4.2131 -7.8721 -0.1383
-3.1817 -2.2162 -4.7246
-3.2669 -6.1298 -3.7856
-1.9254 0.1530 -1.5558
-4.1279 -3.9585 -1.0774
-5.4694 -10.2413 -3.3072
-5.9085 -7.2986 -3.0155
-1.4863 -2.7897 -1.8474
-0.7293 -1.3832 -2.9443
-5.0675 -5.7222 -2.2658
-6.6655 -8.7051 -1.9187
-2.3273 -4.3661 -2.5972
-2.7771 -5.1841 0.6032
0.0000 0.0000 0.0000
-4.3875 -8.2246 -3.9709
-3.0074 -1.8637 -0.8920
```

Its total energy is -9.158 eV/atom.